No. 1
Density functional theory data (GGA-PBE) for an optimized crystal structure of AlSi2Au2.

Properties
SG: No. 127

Geometry as POSCAR:
```
AlSi2Au2
1.0
7.0566 0.0000 0.0000
0.0000 7.0566 0.0000
0.0000 0.0000 3.6071
Al Si Au
2 4 4
direct
0.0000 0.0000 0.0000
0.5000 0.5000 0.0000
0.1690 0.3310 0.5000
0.3310 0.8310 0.5000
0.6690 0.1690 0.5000
0.8310 0.6690 0.5000
0.1425 0.6425 0.0000
0.3575 0.1425 0.0000
0.6425 0.8575 0.0000
0.8575 0.3575 0.0000
```



No. 2
Density functional theory data (GGA-PBE) for an optimized crystal structure of Al2SiAu8.

Properties
SG: No. 8

Geometry as POSCAR:
```
Al2SiAu8
1.0
3.8515 -7.0700 0.0000
3.8515 7.0700 0.0000
-2.3873 0.0000 3.5792
Al Si Au
2 1 8
direct
0.1760 0.8240 0.0000
0.8240 0.1760 0.0000
0.5000 0.5000 0.0000
0.1032 0.3710 0.7374
0.2353 0.2353 0.2355
0.3024 0.6973 0.4999
0.3710 0.1032 0.7374
0.6288 0.8966 0.2624
0.6973 0.3024 0.4999
0.7664 0.7664 0.7662
0.8966 0.6288 0.2624
```



No. 3
Density functional theory data (GGA-PBE) for an optimized crystal structure of AlSi4Au.

Properties
SG: No. 216

Geometry as POSCAR:
```
AlSi4Au
1.0
0.0000 3.6570 3.6570
3.6570 0.0000 3.6570
3.6570 3.6570 0.0000
Al Si Au
1 4 1
direct
0.0000 0.0000 0.0000
0.1225 0.6258 0.6258
0.6258 0.1225 0.6258
0.6258 0.6258 0.1225
0.6258 0.6258 0.6258
0.2500 0.2500 0.2500
```



It is found that the DFT total energy values, taken in the order of the records, are -3.9874 -3.6951 -4.3079 eV per atom.